No. 1
DFT (PBE) results for a relaxed BaHgO crystal.

abc: 7.754 4.461 11.535
angles: 90.00 102.60 90.00
Fractional positions:
Ba 0.125 0.000 0.373
Ba 0.375 0.500 0.627
Ba 0.625 0.500 0.373
Ba 0.875 0.000 0.627
Hg 0.135 0.500 0.903
Hg 0.365 0.000 0.097
Hg 0.635 0.000 0.903
Hg 0.865 0.500 0.097
O 0.199 0.000 0.602
O 0.301 0.500 0.398
O 0.699 0.500 0.602
O 0.801 0.000 0.398

Values from the calculation:
- ΔE to the lowest computed polymorph (kJ/mol of formula units) = 0
- space-group type = No. 12
- E_form (uncorrected) (meV per atom) = -1566
- E_tot (eV per atom) = -3.960

***

No. 2
DFT (PBE) results for a relaxed Ba2HgO crystal.

abc: 7.704 7.704 9.714
angles: 90.00 90.00 90.00
Fractional positions:
Ba 0.151 0.750 0.125
Ba 0.250 0.151 0.875
Ba 0.250 0.349 0.375
Ba 0.349 0.750 0.625
Ba 0.651 0.250 0.625
Ba 0.750 0.651 0.375
Ba 0.750 0.849 0.875
Ba 0.849 0.250 0.125
Hg 0.000 0.000 0.500
Hg 0.000 0.500 0.750
Hg 0.500 0.000 0.250
Hg 0.500 0.500 0.000
O 0.000 0.000 0.000
O 0.000 0.500 0.250
O 0.500 0.000 0.750
O 0.500 0.500 0.500

Values from the calculation:
- ΔE to the lowest computed polymorph (kJ/mol of formula units) = 11
- space-group type = No. 122
- E_form (uncorrected) (meV per atom) = -1400
- E_tot (eV per atom) = -3.677

***

No. 3
DFT (PBE) results for a relaxed Ba2HgO crystal.

abc: 4.126 4.126 25.277
angles: 90.00 90.00 120.00
Fractional positions:
Ba 0.000 0.000 0.000
Ba 0.000 0.000 0.209
Ba 0.333 0.667 0.667
Ba 0.333 0.667 0.876
Ba 0.667 0.333 0.333
Ba 0.667 0.333 0.543
Hg 0.000 0.000 0.778
Hg 0.333 0.667 0.444
Hg 0.667 0.333 0.111
O 0.000 0.000 0.616
O 0.333 0.667 0.282
O 0.667 0.333 0.949

Values from the calculation:
- ΔE to the lowest computed polymorph (kJ/mol of formula units) = 51
- space-group type = No. 160
- E_form (uncorrected) (meV per atom) = -1296
- E_tot (eV per atom) = -3.572

***

Please write out number 2 again, unchanged.
DFT (PBE) results for a relaxed Ba2HgO crystal.

abc: 7.704 7.704 9.714
angles: 90.00 90.00 90.00
Fractional positions:
Ba 0.151 0.750 0.125
Ba 0.250 0.151 0.875
Ba 0.250 0.349 0.375
Ba 0.349 0.750 0.625
Ba 0.651 0.250 0.625
Ba 0.750 0.651 0.375
Ba 0.750 0.849 0.875
Ba 0.849 0.250 0.125
Hg 0.000 0.000 0.500
Hg 0.000 0.500 0.750
Hg 0.500 0.000 0.250
Hg 0.500 0.500 0.000
O 0.000 0.000 0.000
O 0.000 0.500 0.250
O 0.500 0.000 0.750
O 0.500 0.500 0.500

Values from the calculation:
- ΔE to the lowest computed polymorph (kJ/mol of formula units) = 11
- space-group type = No. 122
- E_form (uncorrected) (meV per atom) = -1400
- E_tot (eV per atom) = -3.677